(1)
The following is a DFT calculation (PBE-GGA) of a geometry-optimized CaInBr2 structure.

Calculated values
Theoretical density: 3.31 g cm⁻³
Excess energy over the best structure of this formula in the dataset: 40.3 meV/atom
V: 39.49 Å³ per atom

```
data_CaInBr2
_chemical_formula_sum 'Ca2 In2 Br4'
_cell_length_a 5.366
_cell_length_b 8.156
_cell_length_c 8.483
_cell_angle_alpha 113.03
_cell_angle_beta 98.27
_cell_angle_gamma 105.55
_space_group_name_H-M_alt 'P 1'
_space_group_IT_number 1
_space_group_name_Hall 'P 1'
loop_
_atom_site_label
_atom_site_fract_x
_atom_site_fract_y
_atom_site_fract_z
Ca1 0.000 0.000 0.000
Ca2 0.362 0.592 0.097
In1 0.001 0.814 0.462
In2 0.524 0.792 0.596
Br1 0.142 0.205 0.798
Br2 0.206 0.384 0.296
Br3 0.522 0.982 0.131
Br4 0.839 0.608 0.966
```


(2)
The following is a DFT calculation (PBE-GGA) of a geometry-optimized LuZn4Cr structure.

Calculated values
Theoretical density: 8.32 g cm⁻³
V: 16.25 Å³ per atom
Energy of formation from the pure elements: -0.149 eV/atom

```
data_LuZn4Cr
_chemical_formula_sum 'Lu1 Zn4 Cr1'
_cell_length_a 5.166
_cell_length_b 5.166
_cell_length_c 5.166
_cell_angle_alpha 60.00
_cell_angle_beta 60.00
_cell_angle_gamma 60.00
_space_group_name_H-M_alt 'P 1'
_space_group_IT_number 1
_space_group_name_Hall 'P 1'
loop_
_atom_site_label
_atom_site_fract_x
_atom_site_fract_y
_atom_site_fract_z
Lu1 0.000 0.000 0.000
Zn1 0.376 0.376 0.376
Zn2 0.376 0.376 0.873
Zn3 0.376 0.873 0.376
Zn4 0.873 0.376 0.376
Cr1 0.750 0.750 0.750
```


(3)
The following is a DFT calculation (PBE-GGA) of a geometry-optimized Pm4SmSn3 structure.

Calculated values
Theoretical density: 7.23 g cm⁻³
V: 31.17 Å³ per atom
Energy of formation from the pure elements: -0.490 eV/atom

```
data_Pm4SmSn3
_chemical_formula_sum 'Pm4 Sm1 Sn3'
_cell_length_a 10.517
_cell_length_b 10.517
_cell_length_c 5.679
_cell_angle_alpha 98.48
_cell_angle_beta 98.48
_cell_angle_gamma 23.68
_space_group_name_H-M_alt 'P 1'
_space_group_IT_number 1
_space_group_name_Hall 'P 1'
loop_
_atom_site_label
_atom_site_fract_x
_atom_site_fract_y
_atom_site_fract_z
Pm1 0.118 0.118 0.061
Pm2 0.343 0.343 0.409
Pm3 0.657 0.657 0.591
Pm4 0.882 0.882 0.939
Sm1 0.000 0.000 0.500
Sn1 0.262 0.262 0.831
Sn2 0.500 0.500 0.000
Sn3 0.738 0.738 0.169
```


Which of these has the lowest theoretical density? CaInBr2


What is the formula in the first record? CaInBr2


Look up the theoretical density of the second one. 8.32 g cm⁻³